1.
Here is crystalline Cr2NiS at its relaxed geometry from Alexandria via LeMat-Bulk. Energies are from PBE-GGA.

Calculated values
formation energy from raw total energies: 0.1491 eV/atom
E above lowest polymorph: 0.0 meV per atom

abc: 5.634 5.634 5.634
angles: 90.00 90.00 90.00
Space group Fm-3m (No. 225)
Unique sites:
Cr (0.250, 0.250, 0.250)
Ni (0.000, 0.000, 0.000)
S (0.000, 0.000, 0.500)

2.
Here is crystalline Cr2NiS at its relaxed geometry from Alexandria via LeMat-Bulk. Energies are from PBE-GGA.

Calculated values
formation energy from raw total energies: 0.2535 eV/atom
E above lowest polymorph: 104.5 meV per atom

abc: 6.600 6.600 4.566
angles: 90.00 90.00 90.00
Space group I-42d (No. 122)
Unique sites:
Cr (0.201, 0.250, 0.125)
Ni (0.000, 0.000, 0.500)
S (0.000, 0.000, 0.000)

3.
Here is crystalline CrNiS2 at its relaxed geometry from Alexandria via LeMat-Bulk. Energies are from PBE-GGA.

Calculated values
formation energy from raw total energies: -0.2787 eV/atom
E above lowest polymorph: 159.1 meV per atom

abc: 3.2895 3.2895 17.6227
angles: 90.00 90.00 120.00
Space group R3m (No. 160, hexagonal axes)
Unique sites:
Cr (0.0000, 0.0000, 0.0000)
Ni (0.0000, 0.0000, 0.8464)
S (0.0000, 0.0000, 0.2550)
S (0.0000, 0.0000, 0.4250)

4.
Here is crystalline Cr3NiS at its relaxed geometry from Alexandria via LeMat-Bulk. Energies are from PBE-GGA.

Calculated values
formation energy from raw total energies: 0.5894 eV/atom
E above lowest polymorph: 0.0 meV per atom

abc: 4.190 4.190 4.190
angles: 90.00 90.00 90.00
Space group Pm-3m (No. 221)
Unique sites:
Cr (0.000, 0.000, 0.500)
Ni (0.500, 0.500, 0.500)
S (0.000, 0.000, 0.000)

5.
Here is crystalline CrNiS3 at its relaxed geometry from Alexandria via LeMat-Bulk. Energies are from PBE-GGA.

Calculated values
formation energy from raw total energies: 0.5619 eV/atom
E above lowest polymorph: 0.0 meV per atom

abc: 4.453 4.453 4.453
angles: 90.00 90.00 90.00
Space group Pm-3m (No. 221)
Unique sites:
Cr (0.000, 0.000, 0.000)
Ni (0.500, 0.500, 0.500)
S (0.000, 0.000, 0.500)

6.
Here is crystalline Cr2NiS4 at its relaxed geometry from Alexandria via LeMat-Bulk. Energies are from PBE-GGA.

Calculated values
formation energy from raw total energies: -0.5501 eV/atom
E above lowest polymorph: 84.6 meV per atom

abc: 12.216 3.125 5.684
angles: 90.00 114.47 90.00
Space group C2/m (No. 12)
Unique sites:
Cr (0.241, 0.000, 0.184)
Ni (0.000, 0.500, 0.500)
S (0.108, 0.500, 0.943)
S (0.142, 0.000, 0.482)

7.
Here is crystalline Cr5NiS8 at its relaxed geometry from Alexandria via LeMat-Bulk. Energies are from PBE-GGA.

Calculated values
formation energy from raw total energies: -0.6321 eV/atom
E above lowest polymorph: 0.0 meV per atom

abc: 6.001 3.437 11.046
angles: 90.00 91.29 90.00
Space group P2/m (No. 10)
Unique sites:
Cr (0.000, 0.000, 0.000)
Cr (0.016, 0.000, 0.728)
Cr (0.484, 0.500, 0.756)
Ni (0.500, 0.500, 0.500)
S (0.157, 0.500, 0.133)
S (0.175, 0.500, 0.619)
S (0.323, 0.000, 0.873)
S (0.344, 0.000, 0.369)

8.
Here is crystalline Cr5NiS8 at its relaxed geometry from Alexandria via LeMat-Bulk. Energies are from PBE-GGA.

Calculated values
formation energy from raw total energies: -0.6295 eV/atom
E above lowest polymorph: 2.7 meV per atom

abc: 6.492 6.587 6.882
angles: 105.02 105.54 115.96
Space group P-1 (No. 2)
Unique sites:
Cr (0.000, 0.000, 0.000)
Cr (0.244, 0.723, 0.495)
Cr (0.254, 0.719, 0.990)
Ni (0.000, 0.000, 0.500)
S (0.197, 0.448, 0.164)
S (0.201, 0.445, 0.660)
S (0.287, 0.025, 0.829)
S (0.291, 0.023, 0.327)

9.
Here is crystalline CrNiS2 at its relaxed geometry from Alexandria via LeMat-Bulk. Energies are from PBE-GGA.

Calculated values
formation energy from raw total energies: -0.4379 eV/atom
E above lowest polymorph: 0.0 meV per atom

abc: 5.168 5.168 10.394
angles: 90.00 90.00 90.00
Space group I-42d (No. 122)
Unique sites:
Cr (0.000, 0.000, 0.000)
Ni (0.000, 0.000, 0.500)
S (0.242, 0.250, 0.625)

10.
Here is crystalline Cr2NiS4 at its relaxed geometry from Alexandria via LeMat-Bulk. Energies are from PBE-GGA.

Calculated values
formation energy from raw total energies: 0.0505 eV/atom
E above lowest polymorph: 685.1 meV per atom

abc: 4.565 4.565 11.673
angles: 90.00 90.00 90.00
Space group I4/mmm (No. 139)
Unique sites:
Cr (0.000, 0.000, 0.119)
Ni (0.000, 0.000, 0.500)
S (0.000, 0.000, 0.304)
S (0.000, 0.500, 0.000)

11.
Here is crystalline CrNiS2 at its relaxed geometry from Alexandria via LeMat-Bulk. Energies are from PBE-GGA.

Calculated values
formation energy from raw total energies: -0.0120 eV/atom
E above lowest polymorph: 425.8 meV per atom

abc: 5.921 5.921 5.921
angles: 90.00 90.00 90.00
Space group Fm-3m (No. 225)
Unique sites:
Cr (0.000, 0.000, 0.000)
Ni (0.000, 0.000, 0.500)
S (0.250, 0.250, 0.250)

12.
Here is crystalline CrNi2SbS at its relaxed geometry from Alexandria via LeMat-Bulk. Energies are from PBE-GGA.

Calculated values
formation energy from raw total energies: 0.4054 eV/atom
E above lowest polymorph: 0.0 meV per atom

abc: 4.101 4.101 5.524
angles: 90.00 90.00 90.00
Space group P4/mmm (No. 123)
Unique sites:
Cr (0.000, 0.000, 0.000)
Ni (0.000, 0.500, 0.500)
Sb (0.500, 0.500, 0.000)
S (0.500, 0.500, 0.500)

13.
Here is crystalline CrNi2SbS at its relaxed geometry from Alexandria via LeMat-Bulk. Energies are from PBE-GGA.

Calculated values
formation energy from raw total energies: 1.1008 eV/atom
E above lowest polymorph: 695.3 meV per atom

abc: 4.306 4.306 5.065
angles: 90.00 90.00 90.00
Space group P4/mmm (No. 123)
Unique sites:
Cr (0.000, 0.000, 0.000)
Ni (0.000, 0.500, 0.000)
Sb (0.000, 0.000, 0.500)
S (0.500, 0.500, 0.500)

14.
Here is crystalline CrSiNiS2 at its relaxed geometry from Alexandria via LeMat-Bulk. Energies are from PBE-GGA.

Calculated values
formation energy from raw total energies: 0.6681 eV/atom

abc: 4.357 4.357 4.586
angles: 90.00 90.00 90.00
Space group P4/mmm (No. 123)
Unique sites:
Cr (0.000, 0.000, 0.000)
Si (0.000, 0.000, 0.500)
Ni (0.500, 0.500, 0.500)
S (0.000, 0.500, 0.000)

15.
Here is crystalline SrCrNiS3 at its relaxed geometry from Alexandria via LeMat-Bulk. Energies are from PBE-GGA.

Calculated values
formation energy from raw total energies: -1.0001 eV/atom

abc: 3.707 12.719 9.344
angles: 90.00 90.00 90.00
Space group Cmcm (No. 63)
Unique sites:
Sr (0.000, 0.250, 0.250)
Cr (0.000, 0.000, 0.000)
Ni (0.000, 0.472, 0.750)
S (0.000, 0.069, 0.750)
S (0.000, 0.375, 0.551)

16.
Here is crystalline SrCr2NiS8 at its relaxed geometry from Alexandria via LeMat-Bulk. Energies are from PBE-GGA.

Calculated values
formation energy from raw total energies: -0.5248 eV/atom

abc: 5.7587 5.7587 25.5662
angles: 90.00 90.00 120.00
Space group R-3 (No. 148, hexagonal axes)
Unique sites:
Sr (0.0000, 0.0000, 0.0000)
Cr (0.0000, 0.0000, 0.2480)
Ni (0.0000, 0.0000, 0.5000)
S (0.0000, 0.0000, 0.3297)
S (0.0008, 0.6600, 0.2197)

17.
Here is crystalline Ta2Cr2NiS6 at its relaxed geometry from Alexandria via LeMat-Bulk. Energies are from PBE-GGA.

Calculated values
formation energy from raw total energies: -0.5336 eV/atom

abc: 5.905 10.672 6.156
angles: 90.00 109.83 90.00
Space group C2/m (No. 12)
Unique sites:
Ta (0.000, 0.191, 0.000)
Cr (0.000, 0.343, 0.500)
Ni (0.000, 0.500, 0.000)
S (0.234, 0.163, 0.732)
S (0.243, 0.500, 0.783)

18.
Here is crystalline Tl2Cr2NiS6 at its relaxed geometry from Alexandria via LeMat-Bulk. Energies are from PBE-GGA.

Calculated values
formation energy from raw total energies: -0.4680 eV/atom

abc: 6.064 10.535 7.659
angles: 90.00 106.72 90.00
Space group C2/m (No. 12)
Unique sites:
Tl (0.000, 0.172, 0.000)
Cr (0.000, 0.331, 0.500)
Ni (0.000, 0.000, 0.500)
S (0.224, 0.161, 0.670)
S (0.239, 0.500, 0.668)

19.
Here is crystalline Tl3Cr2NiS6 at its relaxed geometry from Alexandria via LeMat-Bulk. Energies are from PBE-GGA.

Calculated values
formation energy from raw total energies: -0.4329 eV/atom

abc: 6.141 10.614 7.808
angles: 90.00 105.10 90.00
Space group C2/m (No. 12)
Unique sites:
Tl (0.000, 0.000, 0.000)
Tl (0.000, 0.333, 0.000)
Cr (0.000, 0.167, 0.500)
Ni (0.000, 0.500, 0.500)
S (0.216, 0.338, 0.663)
S (0.231, 0.000, 0.665)

20.
Here is crystalline ZnCrNiS2 at its relaxed geometry from Alexandria via LeMat-Bulk. Energies are from PBE-GGA.

Calculated values
formation energy from raw total energies: 0.5841 eV/atom

abc: 4.334 4.334 4.743
angles: 90.00 90.00 90.00
Space group P4/mmm (No. 123)
Unique sites:
Zn (0.000, 0.000, 0.000)
Cr (0.000, 0.000, 0.500)
Ni (0.500, 0.500, 0.000)
S (0.000, 0.500, 0.500)

21.
Here is crystalline CrNiSb2 at its relaxed geometry from Alexandria via LeMat-Bulk. Energies are from PBE-GGA.

Calculated values
formation energy from raw total energies: -0.0600 eV/atom
E above lowest polymorph: 0.0 meV per atom

abc: 4.0352 4.0352 5.4116
angles: 90.00 90.00 120.00
Space group P-3m1 (No. 164)
Unique sites:
Cr (0.0000, 0.0000, 0.0000)
Ni (0.0000, 0.0000, 0.5000)
Sb (0.3333, 0.6667, 0.2678)

22.
Here is crystalline CrNi3Sb at its relaxed geometry from Alexandria via LeMat-Bulk. Energies are from PBE-GGA.

Calculated values
formation energy from raw total energies: 0.9219 eV/atom

abc: 4.327 4.327 4.327
angles: 90.00 90.00 90.00
Space group Pm-3m (No. 221)
Unique sites:
Cr (0.000, 0.000, 0.000)
Ni (0.000, 0.000, 0.500)
Sb (0.500, 0.500, 0.500)

23.
Here is crystalline Cr2NiSb2 at its relaxed geometry from Alexandria via LeMat-Bulk. Energies are from PBE-GGA.

Calculated values
formation energy from raw total energies: 0.4574 eV/atom
E above lowest polymorph: 92.4 meV per atom

abc: 3.257 3.257 16.101
angles: 90.00 90.00 90.00
Space group I4/mmm (No. 139)
Unique sites:
Cr (0.000, 0.500, 0.250)
Ni (0.000, 0.000, 0.000)
Sb (0.000, 0.000, 0.393)

24.
Here is crystalline Cr2NiSb2 at its relaxed geometry from Alexandria via LeMat-Bulk. Energies are from PBE-GGA.

Calculated values
formation energy from raw total energies: 0.3650 eV/atom
E above lowest polymorph: 0.0 meV per atom

abc: 6.918 6.918 3.797
angles: 90.00 90.00 90.00
Space group P4/mbm (No. 127)
Unique sites:
Cr (0.144, 0.356, 0.000)
Ni (0.000, 0.000, 0.500)
Sb (0.160, 0.660, 0.500)

25.
Here is crystalline CrNiSb2 at its relaxed geometry from Alexandria via LeMat-Bulk. Energies are from PBE-GGA.

Calculated values
formation energy from raw total energies: 0.2997 eV/atom
E above lowest polymorph: 359.8 meV per atom

abc: 3.310 3.310 6.158
angles: 90.00 90.00 90.00
Space group P4/mmm (No. 123)
Unique sites:
Cr (0.000, 0.000, 0.000)
Ni (0.000, 0.000, 0.500)
Sb (0.500, 0.500, 0.251)